# NaP3S PBE relaxed
# - density of states at the Fermi level (states/eV/cell) = 5.7
# - ΔE to the lowest computed polymorph (eV/atom) = 0.0000
# - formation energy from raw total energies (eV per atom) = 0.6875
# - total magnetization (μB per atom) = 0.0000
data_NaP3S
_space_group_name_H-M_alt 'P m -3 m'
_space_group_IT_number 221
_space_group_name_Hall '-P 4 2 3'
_cell_length_a 4.6528
_cell_length_b 4.6528
_cell_length_c 4.6528
_cell_angle_alpha 90.00
_cell_angle_beta 90.00
_cell_angle_gamma 90.00
loop_
_atom_site_label
_atom_site_type_symbol
_atom_site_fract_x
_atom_site_fract_y
_atom_site_fract_z
_atom_site_occupancy
Na1 Na 0.0000 0.0000 0.0000 1
P1 P 0.0000 0.5000 0.5000 1
S1 S 0.5000 0.5000 0.5000 1